Entry 1:
# PBE-GGA Ce8Tl3Sn4, relaxed
data_Ce8Tl3Sn4
_chemical_formula_sum 'Ce16 Tl6 Sn8'
_space_group_name_H-M_alt 'C 1 2/m 1'
_space_group_IT_number 12
_cell_length_a 12.879
_cell_length_b 12.751
_cell_length_c 7.239
_cell_angle_alpha 90.00
_cell_angle_beta 124.06
_cell_angle_gamma 90.00
loop_
_space_group_symop_operation_xyz
'x,y,z'
'-x,-y,-z'
'-x,y,-z'
'x,-y,z'
'x+1/2,y+1/2,z'
'-x+1/2,-y+1/2,-z'
'-x+1/2,y+1/2,-z'
'x+1/2,-y+1/2,z'
loop_
_atom_site_label
_atom_site_fract_x
_atom_site_fract_y
_atom_site_fract_z
Ce1 0.000 0.237 0.000
Ce2 0.000 0.248 0.500
Ce3 0.248 0.000 0.995
Ce4 0.250 0.000 0.508
Tl1 0.000 0.500 0.500
Tl2 0.250 0.250 0.000
Sn1 0.000 0.000 0.500
Sn2 0.000 0.500 0.000
Sn3 0.250 0.250 0.500
# Total DFT energy (no corrections) (eV per formula unit): -73.08
# ρ (g cm⁻³): 7.45
# Energy of formation from the pure elements (eV/atom): -0.167
# Calculated volume (Å³ per cell): 984.8

=====

Entry 2:
# PBE-GGA Ce5TlSn6, relaxed
data_Ce5TlSn6
_chemical_formula_sum 'Ce10 Tl2 Sn12'
_space_group_name_H-M_alt 'I m m m'
_space_group_IT_number 71
_space_group_name_Hall '-I 2 2'
_cell_length_a 4.806
_cell_length_b 9.256
_cell_length_c 14.858
_cell_angle_alpha 90.00
_cell_angle_beta 90.00
_cell_angle_gamma 90.00
loop_
_atom_site_label
_atom_site_fract_x
_atom_site_fract_y
_atom_site_fract_z
Ce1 0.000 0.000 0.000
Ce2 0.000 0.000 0.350
Ce3 0.000 0.500 0.333
Tl1 0.000 0.500 0.000
Sn1 0.000 0.247 0.171
Sn2 0.000 0.259 0.500
# Total DFT energy (no corrections) (eV per formula unit): -62.49
# ρ (g cm⁻³): 8.13
# Energy of formation from the pure elements (eV/atom): -0.536
# Calculated volume (Å³ per cell): 660.9

=====

Entry 3:
# PBE-GGA Ce2TlSn3, relaxed
data_Ce2TlSn3
_chemical_formula_sum 'Ce4 Tl2 Sn6'
_space_group_name_H-M_alt 'C m m m'
_space_group_IT_number 65
_space_group_name_Hall '-C 2 2'
_cell_length_a 4.454
_cell_length_b 15.351
_cell_length_c 4.827
_cell_angle_alpha 90.00
_cell_angle_beta 90.00
_cell_angle_gamma 90.00
loop_
_atom_site_label
_atom_site_fract_x
_atom_site_fract_y
_atom_site_fract_z
Ce1 0.000 0.151 0.000
Tl1 0.000 0.000 0.500
Sn1 0.000 0.322 0.500
Sn2 0.000 0.500 0.000
# Total DFT energy (no corrections) (eV per formula unit): -29.34
# ρ (g cm⁻³): 8.46
# Energy of formation from the pure elements (eV/atom): -0.516
# Calculated volume (Å³ per cell): 330.0

=====

Entry 4:
# PBE-GGA Ce6Tl5Sn, relaxed
data_Ce6Tl5Sn
_chemical_formula_sum 'Ce12 Tl10 Sn2'
_space_group_name_H-M_alt 'I m m m'
_space_group_IT_number 71
_space_group_name_Hall '-I 2 2'
_cell_length_a 4.954
_cell_length_b 9.258
_cell_length_c 14.847
_cell_angle_alpha 90.00
_cell_angle_beta 90.00
_cell_angle_gamma 90.00
loop_
_atom_site_label
_atom_site_fract_x
_atom_site_fract_y
_atom_site_fract_z
Ce1 0.000 0.245 0.000
Ce2 0.000 0.252 0.335
Tl1 0.000 0.000 0.170
Tl2 0.000 0.000 0.500
Tl3 0.000 0.500 0.166
Sn1 0.000 0.500 0.500
# Total DFT energy (no corrections) (eV per formula unit): -55.08
# ρ (g cm⁻³): 9.66
# Energy of formation from the pure elements (eV/atom): -0.304
# Calculated volume (Å³ per cell): 680.9

=====

Entry 5:
# PBE-GGA Ce6TlSn2, relaxed
data_Ce6TlSn2
_chemical_formula_sum 'Ce6 Tl1 Sn2'
_space_group_name_H-M_alt 'P 6/m m m'
_space_group_IT_number 191
_space_group_name_Hall '-P 6 2'
_cell_length_a 9.1169
_cell_length_b 9.1169
_cell_length_c 3.2121
_cell_angle_alpha 90.00
_cell_angle_beta 90.00
_cell_angle_gamma 120.00
loop_
_atom_site_label
_atom_site_fract_x
_atom_site_fract_y
_atom_site_fract_z
Ce1 0.0000 0.3436 0.0000
Tl1 0.0000 0.0000 0.5000
Sn1 0.3333 0.6667 0.5000
# Total DFT energy (no corrections) (eV per formula unit): -48.38
# Offset from the most stable computed form (meV/atom): 0.0
# ρ (g cm⁻³): 9.21
# Energy of formation from the pure elements (eV/atom): -0.268
# Calculated volume (Å³ per cell): 231.2

=====

Entry 6:
# PBE-GGA Ce3Tl2Sn, relaxed
data_Ce3Tl2Sn
_chemical_formula_sum 'Ce3 Tl2 Sn1'
_space_group_name_H-M_alt 'P -3 m 1'
_space_group_IT_number 164
_space_group_name_Hall '-P 3 2"'
_cell_length_a 5.5019
_cell_length_b 5.5019
_cell_length_c 6.7050
_cell_angle_alpha 90.00
_cell_angle_beta 90.00
_cell_angle_gamma 120.00
loop_
_atom_site_label
_atom_site_fract_x
_atom_site_fract_y
_atom_site_fract_z
Ce1 0.0000 0.0000 0.0000
Ce2 0.3333 0.6667 0.6307
Tl1 0.3333 0.6667 0.1365
Sn1 0.0000 0.0000 0.5000
# Total DFT energy (no corrections) (eV per formula unit): -28.53
# Offset from the most stable computed form (meV/atom): 25.0
# ρ (g cm⁻³): 8.95
# Energy of formation from the pure elements (eV/atom): -0.332
# Calculated volume (Å³ per cell): 175.8